Run i
DFT (PBE) results for a relaxed structure of SmZrRe.

Results
Magnetization, μB/f.u.: 0.0

abc: 4.671 4.671 4.671
angles: 60.00 60.00 60.00
Fractional coordinates of all 3 atoms:
Sm  0.000  0.000  0.000
Zr  0.750  0.750  0.750
Re  0.500  0.500  0.500

***

Run ii
DFT (PBE) results for a relaxed structure of SmZrRe.

Results
Magnetization, μB/f.u.: 0.0

abc: 4.669 4.669 4.669
angles: 60.00 60.00 60.00
Fractional coordinates of all 3 atoms:
Sm  0.000  0.000  0.000
Zr  0.250  0.250  0.250
Re  0.750  0.750  0.750

***

Energy relative to the most stable one, in eV/atom: run i 0.000; run ii 0.513

***

Run i
DFT (PBE) results for a relaxed structure of Sr2Re.

Results
Magnetization, μB/f.u.: 2.7

abc: 6.343 6.343 6.343
angles: 60.00 60.00 60.00
Fractional coordinates of all 6 atoms:
Sr  0.000  0.000  0.000
Sr  0.000  0.000  0.500
Sr  0.000  0.500  0.000
Sr  0.500  0.000  0.000
Re  0.375  0.375  0.375
Re  0.625  0.625  0.625

***

Run ii
DFT (PBE) results for a relaxed structure of Sr2Re.

Results
Magnetization, μB/f.u.: 1.0

abc: 8.779 8.779 8.779
angles: 60.00 60.00 60.00
Fractional coordinates of all 6 atoms:
Sr  0.000  0.000  0.000
Sr  0.000  0.000  0.500
Sr  0.000  0.500  0.000
Sr  0.500  0.000  0.000
Re  0.125  0.125  0.125
Re  0.875  0.875  0.875

***

Energy relative to the most stable one, in eV/atom: run i 0.000; run ii 0.024

***

Run i
DFT (PBE) results for a relaxed structure of Sr2TbRe2.

Results
Magnetization, μB/f.u.: 0.0

abc: 3.573 3.573 12.135
angles: 98.36 98.36 90.01
Fractional coordinates of all 5 atoms:
Sr  0.000  0.000  0.000
Sr  0.721  0.721  0.466
Tb  0.365  0.365  0.732
Re  0.098  0.598  0.234
Re  0.598  0.098  0.234

***

Run ii
DFT (PBE) results for a relaxed structure of Sr2TbRe2.

Results
Magnetization, μB/f.u.: 0.0

abc: 7.637 7.637 7.637
angles: 145.70 145.70 49.29
Fractional coordinates of all 5 atoms:
Sr  0.250  0.750  0.500
Sr  0.750  0.250  0.500
Tb  0.000  0.000  0.000
Re  0.422  0.422  0.000
Re  0.578  0.578  0.000

***

Energy relative to the most stable one, in eV/atom: run i 0.000; run ii 0.325

***

Run i
DFT (PBE) results for a relaxed structure of Ta3Re10.

Results
Magnetization, μB/f.u.: 0.0

abc: 9.580 9.580 9.580
angles: 31.12 31.12 31.12
Fractional coordinates of all 13 atoms:
Ta  0.000  0.000  0.000
Ta  0.349  0.349  0.349
Ta  0.651  0.651  0.651
Re  0.086  0.086  0.581
Re  0.086  0.581  0.086
Re  0.167  0.167  0.167
Re  0.419  0.914  0.914
Re  0.453  0.453  0.453
Re  0.547  0.547  0.547
Re  0.581  0.086  0.086
Re  0.833  0.833  0.833
Re  0.914  0.419  0.914
Re  0.914  0.914  0.419

***

Run ii
DFT (PBE) results for a relaxed structure of Ta3Re10.

Results
Magnetization, μB/f.u.: 0.0

abc: 9.635 9.635 9.635
angles: 30.89 30.89 30.89
Fractional coordinates of all 13 atoms:
Ta  0.000  0.000  0.000
Ta  0.451  0.451  0.451
Ta  0.549  0.549  0.549
Re  0.090  0.090  0.583
Re  0.090  0.583  0.090
Re  0.168  0.168  0.168
Re  0.349  0.349  0.349
Re  0.417  0.910  0.910
Re  0.583  0.090  0.090
Re  0.651  0.651  0.651
Re  0.832  0.832  0.832
Re  0.910  0.417  0.910
Re  0.910  0.910  0.417

***

Run iii
DFT (PBE) results for a relaxed structure of Ta3Re10.

Results
Magnetization, μB/f.u.: 0.0

abc: 9.654 9.654 9.654
angles: 30.72 30.72 30.72
Fractional coordinates of all 13 atoms:
Ta  0.000  0.000  0.000
Ta  0.168  0.168  0.168
Ta  0.832  0.832  0.832
Re  0.089  0.089  0.585
Re  0.089  0.585  0.089
Re  0.347  0.347  0.347
Re  0.415  0.911  0.911
Re  0.455  0.455  0.455
Re  0.545  0.545  0.545
Re  0.585  0.089  0.089
Re  0.653  0.653  0.653
Re  0.911  0.415  0.911
Re  0.911  0.911  0.415

***

Energy relative to the most stable one, in eV/atom: run i 0.000; run ii 0.192; run iii 0.053

***

Run i
DFT (PBE) results for a relaxed structure of Ta2Re11.

Results
Magnetization, μB/f.u.: 0.0

abc: 9.579 9.579 9.579
angles: 30.84 30.84 30.84
Fractional coordinates of all 13 atoms:
Ta  0.167  0.167  0.167
Ta  0.833  0.833  0.833
Re  0.000  0.000  0.000
Re  0.092  0.092  0.585
Re  0.092  0.585  0.092
Re  0.347  0.347  0.347
Re  0.415  0.908  0.908
Re  0.455  0.455  0.455
Re  0.545  0.545  0.545
Re  0.585  0.092  0.092
Re  0.653  0.653  0.653
Re  0.908  0.415  0.908
Re  0.908  0.908  0.415

***

Run ii
DFT (PBE) results for a relaxed structure of Ta2Re11.

Results
Magnetization, μB/f.u.: 0.0

abc: 9.531 9.531 9.531
angles: 31.12 31.12 31.12
Fractional coordinates of all 13 atoms:
Ta  0.152  0.152  0.152
Ta  0.848  0.848  0.848
Re  0.047  0.047  0.047
Re  0.081  0.588  0.588
Re  0.336  0.336  0.336
Re  0.412  0.412  0.919
Re  0.412  0.919  0.412
Re  0.500  0.500  0.500
Re  0.588  0.081  0.588
Re  0.588  0.588  0.081
Re  0.664  0.664  0.664
Re  0.919  0.412  0.412
Re  0.953  0.953  0.953

***

Run iii
DFT (PBE) results for a relaxed structure of Ta2Re11.

Results
Magnetization, μB/f.u.: 0.0

abc: 9.628 9.628 9.628
angles: 30.61 30.61 30.61
Fractional coordinates of all 13 atoms:
Ta  0.047  0.047  0.047
Ta  0.953  0.953  0.953
Re  0.084  0.593  0.593
Re  0.150  0.150  0.150
Re  0.334  0.334  0.334
Re  0.407  0.407  0.916
Re  0.407  0.916  0.407
Re  0.500  0.500  0.500
Re  0.593  0.084  0.593
Re  0.593  0.593  0.084
Re  0.666  0.666  0.666
Re  0.850  0.850  0.850
Re  0.916  0.407  0.407

***

Energy relative to the most stable one, in eV/atom: run i 0.044; run ii 0.000; run iii 0.183

***

Run i
DFT (PBE) results for a relaxed structure of Ta12Re17.

Results
Magnetization, μB/f.u.: 0.2

abc: 8.544 8.544 8.544
angles: 109.47 109.47 109.47
Fractional coordinates of all 29 atoms:
Ta  0.000  0.407  0.688
Ta  0.000  0.688  0.407
Ta  0.281  0.593  0.593
Ta  0.312  0.312  0.719
Ta  0.312  0.719  0.312
Ta  0.407  0.000  0.688
Ta  0.407  0.688  0.000
Ta  0.593  0.281  0.593
Ta  0.593  0.593  0.281
Ta  0.688  0.000  0.407
Ta  0.688  0.407  0.000
Ta  0.719  0.312  0.312
Re  0.000  0.000  0.000
Re  0.000  0.000  0.651
Re  0.000  0.187  0.367
Re  0.000  0.367  0.187
Re  0.000  0.651  0.000
Re  0.180  0.813  0.813
Re  0.187  0.000  0.367
Re  0.187  0.367  0.000
Re  0.349  0.349  0.349
Re  0.367  0.000  0.187
Re  0.367  0.187  0.000
Re  0.633  0.633  0.820
Re  0.633  0.820  0.633
Re  0.651  0.000  0.000
Re  0.813  0.180  0.813
Re  0.813  0.813  0.180
Re  0.820  0.633  0.633

***

Run ii
DFT (PBE) results for a relaxed structure of Ta12Re17.

Results
Magnetization, μB/f.u.: 0.0

abc: 8.536 8.536 8.536
angles: 109.47 109.47 109.47
Fractional coordinates of all 29 atoms:
Ta  0.000  0.195  0.385
Ta  0.000  0.385  0.195
Ta  0.191  0.805  0.805
Ta  0.195  0.000  0.385
Ta  0.195  0.385  0.000
Ta  0.385  0.000  0.195
Ta  0.385  0.195  0.000
Ta  0.615  0.615  0.809
Ta  0.615  0.809  0.615
Ta  0.805  0.191  0.805
Ta  0.805  0.805  0.191
Ta  0.809  0.615  0.615
Re  0.000  0.000  0.000
Re  0.000  0.000  0.632
Re  0.000  0.414  0.692
Re  0.000  0.632  0.000
Re  0.000  0.692  0.414
Re  0.278  0.586  0.586
Re  0.308  0.308  0.722
Re  0.308  0.722  0.308
Re  0.368  0.368  0.368
Re  0.414  0.000  0.692
Re  0.414  0.692  0.000
Re  0.586  0.278  0.586
Re  0.586  0.586  0.278
Re  0.632  0.000  0.000
Re  0.692  0.000  0.414
Re  0.692  0.414  0.000
Re  0.722  0.308  0.308

***

Energy relative to the most stable one, in eV/atom: run i 0.000; run ii 0.236

***

Run i
DFT (PBE) results for a relaxed structure of Ta9Re4.

Results
Magnetization, μB/f.u.: 0.4

abc: 9.944 9.944 9.944
angles: 30.80 30.80 30.80
Fractional coordinates of all 13 atoms:
Ta  0.000  0.000  0.000
Ta  0.091  0.091  0.585
Ta  0.091  0.585  0.091
Ta  0.168  0.168  0.168
Ta  0.415  0.909  0.909
Ta  0.585  0.091  0.091
Ta  0.832  0.832  0.832
Ta  0.909  0.415  0.909
Ta  0.909  0.909  0.415
Re  0.350  0.350  0.350
Re  0.457  0.457  0.457
Re  0.543  0.543  0.543
Re  0.650  0.650  0.650

***

Run ii
DFT (PBE) results for a relaxed structure of Ta9Re4.

Results
Magnetization, μB/f.u.: 0.0

abc: 9.775 9.775 9.775
angles: 31.74 31.74 31.74
Fractional coordinates of all 13 atoms:
Ta  0.000  0.000  0.000
Ta  0.087  0.087  0.583
Ta  0.087  0.583  0.087
Ta  0.351  0.351  0.351
Ta  0.417  0.913  0.913
Ta  0.583  0.087  0.087
Ta  0.649  0.649  0.649
Ta  0.913  0.417  0.913
Ta  0.913  0.913  0.417
Re  0.168  0.168  0.168
Re  0.456  0.456  0.456
Re  0.544  0.544  0.544
Re  0.832  0.832  0.832

***

Energy relative to the most stable one, in eV/atom: run i 0.068; run ii 0.000

***

Run i
DFT (PBE) results for a relaxed structure of Ta2Re3.

Results
Magnetization, μB/f.u.: 0.0

abc: 9.809 9.809 5.107
angles: 90.00 90.00 90.00
Fractional coordinates of all 30 atoms:
Ta  0.056  0.260  0.000
Ta  0.105  0.105  0.500
Ta  0.240  0.556  0.500
Ta  0.260  0.056  0.000
Ta  0.395  0.605  0.000
Ta  0.444  0.760  0.500
Ta  0.556  0.240  0.500
Ta  0.605  0.395  0.000
Ta  0.740  0.944  0.000
Ta  0.760  0.444  0.500
Ta  0.895  0.895  0.500
Ta  0.944  0.740  0.000
Re  0.000  0.000  0.000
Re  0.030  0.370  0.500
Re  0.130  0.530  0.000
Re  0.188  0.812  0.256
Re  0.188  0.812  0.744
Re  0.312  0.312  0.244
Re  0.312  0.312  0.756
Re  0.370  0.030  0.500
Re  0.470  0.870  0.000
Re  0.500  0.500  0.500
Re  0.530  0.130  0.000
Re  0.630  0.970  0.500
Re  0.688  0.688  0.244
Re  0.688  0.688  0.756
Re  0.812  0.188  0.256
Re  0.812  0.188  0.744
Re  0.870  0.470  0.000
Re  0.970  0.630  0.500

***

Run ii
DFT (PBE) results for a relaxed structure of Ta2Re3.

Results
Magnetization, μB/f.u.: 0.0

abc: 9.778 9.778 5.101
angles: 90.00 90.00 90.00
Fractional coordinates of all 30 atoms:
Ta  0.104  0.104  0.000
Ta  0.184  0.816  0.249
Ta  0.184  0.816  0.751
Ta  0.316  0.316  0.251
Ta  0.316  0.316  0.749
Ta  0.396  0.604  0.500
Ta  0.604  0.396  0.500
Ta  0.684  0.684  0.251
Ta  0.684  0.684  0.749
Ta  0.816  0.184  0.249
Ta  0.816  0.184  0.751
Ta  0.896  0.896  0.000
Re  0.000  0.000  0.500
Re  0.034  0.373  0.000
Re  0.064  0.260  0.500
Re  0.127  0.534  0.500
Re  0.240  0.564  0.000
Re  0.260  0.064  0.500
Re  0.373  0.034  0.000
Re  0.436  0.760  0.000
Re  0.466  0.873  0.500
Re  0.500  0.500  0.000
Re  0.534  0.127  0.500
Re  0.564  0.240  0.000
Re  0.627  0.966  0.000
Re  0.740  0.936  0.500
Re  0.760  0.436  0.000
Re  0.873  0.466  0.500
Re  0.936  0.740  0.500
Re  0.966  0.627  0.000

***

Energy relative to the most stable one, in eV/atom: run i 0.127; run ii 0.000